Below is a relaxed structure of MnPIrO2, with properties calculated at the GGA+U level.

Output
The value obtained for the volume is 15.1 A^3/atom. The energy relative to the lowest polymorph listed for this composition is 0.00 eV/f.u. For the total energy, the calculation gives -32.86 eV per cell.

Cell lengths 3.7771, 3.7771, 5.3093 Å; angles 90.00, 90.00, 90.00 degrees
Space group P4/mmm (No. 123)
Asymmetric unit:
Mn (0.0000, 0.0000, 0.0000)
P (0.5000, 0.5000, 0.0000)
Ir (0.5000, 0.5000, 0.5000)
O (0.0000, 0.5000, 0.5000)